Entry 1:
Entry from Alexandria via LeMat-Bulk: crystalline PrDy6Tm at its relaxed geometry (PBE).

Electronic total energy, eV per atom: -4.583
Spin magnetization, μB/f.u.: 0.00
Calculated formation energy, meV/atom: 25

a = 5.0347 Å, b = 5.0347 Å, c = 10.0469 Å
α = 90.00°, β = 90.00°, γ = 90.00°
With the nearest neighbours (Å) after each atom.
Fractional positions:
Pr  0.0000  0.0000  0.0000  12 Dy 3.56-3.58
Dy  0.0000  0.5000  0.2536  8 Dy 3.53-3.58, 2 Tm 3.53, 2 Pr 3.58
Dy  0.0000  0.5000  0.7464  8 Dy 3.53-3.58, 2 Tm 3.53, 2 Pr 3.58
Dy  0.5000  0.0000  0.2536  8 Dy 3.53-3.58, 2 Tm 3.53, 2 Pr 3.58
Dy  0.5000  0.0000  0.7464  8 Dy 3.53-3.58, 2 Tm 3.53, 2 Pr 3.58
Dy  0.5000  0.5000  0.0000  4 Pr 3.56, 8 Dy 3.58
Dy  0.5000  0.5000  0.5000  8 Dy 3.53, 4 Tm 3.56
Tm  0.0000  0.0000  0.5000  12 Dy 3.53-3.56

Entry 2:
Entry from Alexandria via LeMat-Bulk: crystalline PrDy6Tm4 at its relaxed geometry (PBE).

Electronic total energy, eV per atom: -4.234
Spin magnetization, μB/f.u.: 1.34
Calculated formation energy, meV/atom: 337

a = 9.0379 Å, b = 9.0379 Å, c = 5.2501 Å
α = 90.00°, β = 90.00°, γ = 120.00°
With the nearest neighbours (Å) after each atom.
Fractional positions:
Pr  0.0000  0.0000  0.0000  6 Tm 4.15, 12 Dy 4.16-4.55
Dy  0.2064  0.4127  0.5000  4 Tm 3.22-3.29, 2 Dy 3.44
Dy  0.2064  0.7936  0.5000  4 Tm 3.22-3.29, 2 Dy 3.44
Dy  0.5349  0.0698  0.0000  5 Tm 3.16-3.32
Dy  0.5349  0.4651  0.0000  5 Tm 3.16-3.32
Dy  0.5873  0.7936  0.5000  4 Tm 3.22-3.29, 2 Dy 3.44
Dy  0.9302  0.4651  0.0000  5 Tm 3.16-3.32
Tm  0.3333  0.6667  0.0000  9 Dy 3.16-3.29
Tm  0.4105  0.2052  0.5000  6 Dy 3.22-3.32, 2 Tm 3.47
Tm  0.7948  0.2052  0.5000  6 Dy 3.22-3.32, 2 Tm 3.47
Tm  0.7948  0.5895  0.5000  6 Dy 3.22-3.32, 2 Tm 3.47

Entry 3:
Entry from Alexandria via LeMat-Bulk: crystalline Pr4Dy3Tm2 at its relaxed geometry (PBE).

Electronic total energy, eV per atom: -4.568
Spin magnetization, μB/f.u.: 0.00
Calculated formation energy, meV/atom: 84

a = 6.7069 Å, b = 6.7069 Å, c = 14.4535 Å
α = 115.07°, β = 115.07°, γ = 31.66°
With the nearest neighbours (Å) after each atom.
Fractional positions:
Pr  0.2174  0.2174  0.1086  5 Dy 3.46-3.64, 2 Tm 3.54, 2 Pr 3.66
Pr  0.2768  0.2768  0.6279  4 Dy 3.63-4.05, 3 Tm 3.64, 4 Pr 3.66-3.90
Pr  0.7232  0.7232  0.3721  4 Dy 3.63-4.05, 3 Tm 3.64, 4 Pr 3.66-3.90
Pr  0.7826  0.7826  0.8914  5 Dy 3.46-3.64, 2 Tm 3.54, 2 Pr 3.66
Dy  0.4918  0.4918  0.1120  3 Dy 3.34-3.66, 2 Tm 3.38, 6 Pr 3.46-3.64
Dy  0.5000  0.5000  0.5000  4 Tm 3.35, 2 Dy 3.66, 4 Pr 3.70
Dy  0.5082  0.5082  0.8880  3 Dy 3.34-3.66, 2 Tm 3.38, 6 Pr 3.46-3.64
Tm  0.0467  0.0467  0.7087  4 Dy 3.35-3.38, 5 Pr 3.54-3.64, 2 Tm 3.66
Tm  0.9533  0.9533  0.2913  4 Dy 3.35-3.38, 5 Pr 3.54-3.64, 2 Tm 3.66

Entry 4:
Entry from Alexandria via LeMat-Bulk: crystalline PrDy4Tm7 at its relaxed geometry (PBE).

Electronic total energy, eV per atom: -4.539
Spin magnetization, μB/f.u.: 0.00
Calculated formation energy, meV/atom: 2

a = 6.1599 Å, b = 7.1058 Å, c = 8.7470 Å
α = 90.00°, β = 103.57°, γ = 90.00°
With the nearest neighbours (Å) after each atom.
Fractional positions:
Pr  0.0000  0.0000  0.0000  10 Tm 3.51-3.56, 2 Dy 3.52
Dy  0.2216  0.4997  0.6661  4 Dy 3.48-3.55, 8 Tm 3.48-3.55
Dy  0.2790  0.7493  0.3361  8 Tm 3.47-3.56, 3 Dy 3.48-3.55, 1 Pr 3.52
Dy  0.7210  0.2507  0.6639  8 Tm 3.47-3.56, 3 Dy 3.48-3.55, 1 Pr 3.52
Dy  0.7784  0.5003  0.3339  4 Dy 3.48-3.55, 8 Tm 3.48-3.55
Tm  0.0000  0.5000  0.0000  4 Dy 3.50-3.52, 6 Tm 3.51-3.56, 2 Pr 3.55
Tm  0.2225  0.9998  0.6653  5 Dy 3.47-3.56, 6 Tm 3.48-3.56, 1 Pr 3.51
Tm  0.2787  0.2509  0.3353  6 Dy 3.47-3.56, 5 Tm 3.48-3.56, 1 Pr 3.52
Tm  0.4995  0.2502  0.0002  3 Dy 3.50-3.52, 7 Tm 3.51-3.56, 2 Pr 3.55-3.56
Tm  0.5005  0.7498  0.9998  3 Dy 3.50-3.52, 7 Tm 3.51-3.56, 2 Pr 3.55-3.56
Tm  0.7213  0.7491  0.6647  6 Dy 3.47-3.56, 5 Tm 3.48-3.56, 1 Pr 3.52
Tm  0.7775  0.0002  0.3347  5 Dy 3.47-3.56, 6 Tm 3.48-3.56, 1 Pr 3.51